{
  "formula": "Pr3Nd2Tm8",
  "functional": "GGA-PBE",
  "state": "optimized geometry",
  "relative_energy_ev_per_atom": 0.2357,
  "space_group": "Cmmm",
  "lattice": [[3.844, -10.237, 0.000], [3.844, 10.237, 0.000], [0.000, 0.000, 5.593]],
  "species": ["Pr", "Pr", "Pr", "Nd", "Nd", "Tm", "Tm", "Tm", "Tm", "Tm", "Tm", "Tm", "Tm"],
  "frac_coords": [[0.000, 0.000, 0.000], [0.294, 0.294, 0.500], [0.706, 0.706, 0.500], [0.241, 0.759, 0.000], [0.759, 0.241, 0.000], [0.132, 0.868, 0.500], [0.181, 0.399, 0.000], [0.335, 0.665, 0.500], [0.399, 0.181, 0.000], [0.601, 0.819, 0.000], [0.665, 0.335, 0.500], [0.819, 0.601, 0.000], [0.868, 0.132, 0.500]]
}


{
  "formula": "Pr2Nd5Tm6",
  "functional": "GGA-PBE",
  "state": "optimized geometry",
  "space_group": "Pbam",
  "lattice": [[11.734, 0.000, 0.000], [0.000, 20.578, 0.000], [0.000, 0.000, 3.597]],
  "species": ["Pr", "Pr", "Pr", "Pr", "Nd", "Nd", "Nd", "Nd", "Nd", "Nd", "Nd", "Nd", "Nd", "Nd", "Tm", "Tm", "Tm", "Tm", "Tm", "Tm", "Tm", "Tm", "Tm", "Tm", "Tm", "Tm"],
  "frac_coords": [[0.174, 0.222, 0.000], [0.326, 0.722, 0.000], [0.674, 0.278, 0.000], [0.826, 0.778, 0.000], [0.000, 0.500, 0.500], [0.085, 0.782, 0.500], [0.201, 0.055, 0.500], [0.299, 0.555, 0.500], [0.415, 0.282, 0.500], [0.500, 0.000, 0.500], [0.585, 0.718, 0.500], [0.701, 0.445, 0.500], [0.799, 0.945, 0.500], [0.915, 0.218, 0.500], [0.064, 0.926, 0.000], [0.071, 0.638, 0.000], [0.184, 0.374, 0.500], [0.316, 0.874, 0.500], [0.429, 0.138, 0.000], [0.436, 0.426, 0.000], [0.564, 0.574, 0.000], [0.571, 0.862, 0.000], [0.684, 0.126, 0.500], [0.816, 0.626, 0.500], [0.929, 0.362, 0.000], [0.936, 0.074, 0.000]]
}


Record-wise formation energy values, in meV/atom: 261 97